Version a
Computed, not measured: a relaxed ZrWSe2Br crystal at the PBE level of DFT.

a = 5.2458 Å, b = 5.2458 Å, c = 5.1852 Å
α = 90.00°, β = 90.00°, γ = 90.00°
Fractional coordinates of all 5 atoms:
Br  0.0000  0.0000  0.5000
Se  0.0000  0.5000  0.0000
Se  0.5000  0.0000  0.0000
Zr  0.0000  0.0000  0.0000
W  0.5000  0.5000  0.5000

***

Version b
Computed, not measured: a relaxed ZrWSe2Br crystal at the PBE level of DFT.

a = 4.9190 Å, b = 4.9190 Å, c = 5.1092 Å
α = 90.00°, β = 90.00°, γ = 90.00°
Fractional coordinates of all 5 atoms:
Br  0.0000  0.0000  0.5000
Se  0.0000  0.5000  0.0000
Se  0.5000  0.0000  0.0000
Zr  0.5000  0.5000  0.5000
W  0.0000  0.0000  0.0000

***

Which one sits at the top of the stability order? version b does.

***

Version a
Computed, not measured: a relaxed YSeBr3 crystal at the PBE level of DFT.

a = 5.4387 Å, b = 5.4387 Å, c = 5.4387 Å
α = 90.00°, β = 90.00°, γ = 90.00°
Fractional coordinates of all 5 atoms:
Y  0.5000  0.5000  0.5000
Se  0.0000  0.0000  0.0000
Br  0.0000  0.5000  0.0000
Br  0.0000  0.0000  0.5000
Br  0.5000  0.0000  0.0000

***

Version b
Computed, not measured: a relaxed YSeBr3 crystal at the PBE level of DFT.

a = 5.5994 Å, b = 5.5994 Å, c = 5.5994 Å
α = 90.00°, β = 90.00°, γ = 90.00°
Fractional coordinates of all 5 atoms:
Y  0.0000  0.0000  0.0000
Se  0.5000  0.5000  0.5000
Br  0.0000  0.5000  0.0000
Br  0.0000  0.0000  0.5000
Br  0.5000  0.0000  0.0000

***

Which one sits at the top of the stability order? version b does.

***

Version a
Computed, not measured: a relaxed Y2Se2Br crystal at the PBE level of DFT.

a = 5.6878 Å, b = 7.0502 Å, c = 8.2484 Å
α = 107.35°, β = 90.00°, γ = 113.79°
Fractional coordinates of all 10 atoms:
Y  0.1604  0.3207  0.5747
Y  0.8396  0.6793  0.4253
Y  0.4985  0.9969  0.2614
Y  0.5015  0.0031  0.7386
Se  0.6716  0.3432  0.5898
Se  0.3284  0.6568  0.4102
Se  0.0040  0.0080  0.7536
Se  0.9960  0.9920  0.2464
Br  0.3380  0.6760  0.9122
Br  0.6620  0.3240  0.0878

***

Version b
Computed, not measured: a relaxed Y2Se2Br crystal at the PBE level of DFT.

a = 7.9787 Å, b = 7.9787 Å, c = 3.7759 Å
α = 90.00°, β = 90.00°, γ = 90.00°
Fractional coordinates of all 10 atoms:
Y  0.3472  0.8472  0.0000
Y  0.8472  0.6528  0.0000
Y  0.6528  0.1528  0.0000
Y  0.1528  0.3472  0.0000
Se  0.1411  0.6411  0.5000
Se  0.6411  0.8589  0.5000
Se  0.8589  0.3589  0.5000
Se  0.3589  0.1411  0.5000
Br  0.0000  0.0000  0.0000
Br  0.5000  0.5000  0.0000

***

Which one sits at the top of the stability order? version a does.